[1]
# Dy2Fe17N3, optimized geometry, DFT PBE
# - DFT total energy: -366.3 eV/cell
# - ΔE_f (raw): -231.2 meV/atom
data_Dy2Fe17N3
_chemical_formula_sum 'Dy4 Fe34 N6'
_cell_length_a 8.6391
_cell_length_b 8.6391
_cell_length_c 8.3769
_cell_angle_alpha 90.00
_cell_angle_beta 90.00
_cell_angle_gamma 120.00
_symmetry_space_group_name_H-M 'P 63/m m c'
_symmetry_Int_Tables_number 194
_symmetry_space_group_name_Hall '-P 6c 2c'
loop_
_atom_site_label
_atom_site_type_symbol
_atom_site_fract_x
_atom_site_fract_y
_atom_site_fract_z
Dy1 Dy 0.0000 0.0000 0.2500
Dy2 Dy 0.3333 0.6667 0.2500
Fe1 Fe 0.0000 0.5000 0.0000
Fe2 Fe 0.0528 0.3810 0.7500
Fe3 Fe 0.1693 0.3386 0.0203
Fe4 Fe 0.3333 0.6667 0.6078
N1 N 0.1638 0.3276 0.2500

[2]
# DyFeN, optimized geometry, DFT PBE
# - DFT total energy: -66.8 eV/cell
# - ΔE_f (raw): -290.2 meV/atom
data_DyFeN
_chemical_formula_sum 'Dy3 Fe3 N3'
_cell_length_a 6.4050
_cell_length_b 6.4050
_cell_length_c 3.2104
_cell_angle_alpha 90.00
_cell_angle_beta 90.00
_cell_angle_gamma 120.00
_symmetry_space_group_name_H-M 'P -6 2 m'
_symmetry_Int_Tables_number 189
_symmetry_space_group_name_Hall 'P -6 -2'
loop_
_atom_site_label
_atom_site_type_symbol
_atom_site_fract_x
_atom_site_fract_y
_atom_site_fract_z
Dy1 Dy 0.0000 0.5840 0.0000
Fe1 Fe 0.0000 0.2122 0.5000
N1 N 0.0000 0.0000 0.0000
N2 N 0.3333 0.6667 0.5000